No. 1
The following is a PBE-GGA calculation of a geometry-optimized Tb4Te3P structure, from the Alexandria database.

```
8
Lattice="4.3658 -6.0895 0.0000 4.3658 6.0895 0.0000 0.0000 0.0000 4.2236" Properties=species:S:1:pos:R:3 pbc="T T T"
Tb 1.8782 0.0000 2.1118
Tb 4.3658 3.3202 0.0000
Tb 4.3658 -3.3202 0.0000
Tb 6.8533 0.0000 2.1118
Te 2.1829 3.0447 2.1118
Te 2.1829 -3.0447 2.1118
Te 4.3658 0.0000 0.0000
P 0.0000 0.0000 0.0000
```

Values from the calculation:
**M_tot**: 0.00 Bohr magnetons per cell
**Raw formation energy**: -140 kJ per mole of atoms

***

No. 2
The following is a PBE-GGA calculation of a geometry-optimized Rb2SbBr3O structure, from the Alexandria database.

```
7
Lattice="-2.1240 2.9416 9.2297 2.1240 -2.9416 9.2297 2.1240 2.9416 -9.2297" Properties=species:S:1:pos:R:3 pbc="T T T"
Rb 0.0000 0.0000 2.7213
Rb 0.0000 0.0000 15.7381
Sb 0.0000 0.0000 9.2297
Br 2.1240 0.0000 0.0000
Br 0.0000 0.0000 6.2103
Br 0.0000 0.0000 12.2491
O 0.0000 2.9416 0.0000
```

Values from the calculation:
**M_tot**: 0.00 Bohr magnetons per cell
**Raw formation energy**: -123 kJ per mole of atoms

***

No. 3
The following is a PBE-GGA calculation of a geometry-optimized CePmSN structure, from the Alexandria database.

```
4
Lattice="1.8750 1.0825 6.4171 -1.8750 1.0825 6.4171 0.0000 -2.1650 6.4171" Properties=species:S:1:pos:R:3 pbc="T T T"
Ce 0.0000 0.0000 0.0000
Pm 0.0000 0.0000 9.1440
S 0.0000 0.0000 4.5732
N 0.0000 0.0000 14.1170
```

Values from the calculation:
**M_tot**: 0.30 Bohr magnetons per cell
**Raw formation energy**: -169 kJ per mole of atoms

***

No. 4
The following is a PBE-GGA calculation of a geometry-optimized AlCdIn2Ni structure, from the Alexandria database.

```
5
Lattice="5.0608 0.0000 0.0000 0.0000 5.0608 0.0000 0.0000 0.0000 4.3342" Properties=species:S:1:pos:R:3 pbc="T T T"
Al 0.0000 0.0000 0.0000
Cd 2.5304 2.5304 2.1671
In 0.0000 2.5304 0.0000
In 2.5304 0.0000 0.0000
Ni 0.0000 0.0000 2.1671
```

Values from the calculation:
**M_tot**: 0.00 Bohr magnetons per cell
**Energy of formation**: 0.53 eV/atom

***

Number 1: energy -44.944 eV/cell. Number 2: energy -24.933 eV/cell. Number 3: energy -30.127 eV/cell. Number 4: energy -13.247 eV/cell.